First-principles (PBE) data for an optimized crystal structure of ZrTlCdSe3, as listed in OQMD via LeMat-Bulk.

The structure in extended XYZ format:
```
12
Lattice="1.984 -7.464 0.000 1.984 7.464 0.000 0.000 0.000 10.697" Properties=species:S:1:pos:R:3 pbc="T T T"
Cd 1.984 -6.729 2.674
Cd 1.984 6.729 8.023
Se 1.984 -5.544 0.336
Se 1.984 -1.091 2.674
Se 1.984 -5.544 5.012
Se 1.984 5.544 5.685
Se 1.984 1.091 8.023
Se 1.984 5.544 10.361
Tl 1.984 3.733 2.674
Tl 1.984 -3.733 8.023
Zr 1.984 0.000 0.000
Zr 1.984 0.000 5.348
```

Results
As for the space-group type: Cmcm (63). The total energy is -4.444 eV/atom. The value obtained for the total magnetic moment is 0.66 μB per formula unit.